[1]
Ac5PuTe8: optimized geometry, PBE-GGA.

Unit cell a=8.582 b=8.582 c=8.582 alpha=109.48 beta=109.45 gamma=109.48
Site moments in Bohr magnetons follow the coordinates.
Atoms (fractional coordinates):
Te 0.130 0.747 0.025  -0.02
Te 0.278 0.253 0.384  -0.02
Te 0.125 0.749 0.530  -0.01
Te 0.975 0.105 0.722  -0.02
Te 0.616 0.895 0.870  -0.02
Te 0.470 0.595 0.219  -0.01
Te 0.624 0.405 0.875  -0.01
Te 0.781 0.251 0.376  -0.01
Ac 0.873 0.874 0.247  0.05
Ac 0.002 0.375 0.127  0.05
Ac 0.753 0.625 0.627  0.05
Ac 0.373 0.126 0.998  0.05
Ac 0.500 0.000 0.500  0.04
Pu 0.250 0.500 0.750  5.70

DOS(E_F)	16.739	states/eV/cell
DFT total energy	-81.22	eV/cell
magnetic moment	6.711	Bohr magnetons per cell
formation energy (no corrections)	-1.515	eV/atom

[2]
Sr3Cu2Si2: optimized geometry, PBE-GGA.

Unit cell a=4.622 b=6.096 c=7.546 alpha=110.49 beta=90.00 gamma=112.28
Atoms (fractional coordinates):
Cu 0.187 0.374 0.920
Cu 0.813 0.626 0.080
Si 0.983 0.966 0.650
Si 0.017 0.034 0.350
Sr 0.683 0.365 0.640
Sr 0.317 0.635 0.360
Sr 0.500 0.000 0.000

DOS(E_F)	4.477	states/eV/cell
DFT total energy	-25.89	eV/cell
magnetic moment	0.000	Bohr magnetons per cell
formation energy (no corrections)	-0.258	eV/atom

[3]
TbYPa2As4: optimized geometry, PBE-GGA.

Unit cell a=4.109 b=7.110 c=7.116 alpha=70.51 beta=90.00 gamma=90.00
Atoms (fractional coordinates):
As 0.500 0.753 0.249
As 0.500 0.247 0.751
As 0.000 0.247 0.251
As 0.000 0.753 0.749
Pa 0.000 0.000 0.000
Pa 0.500 0.000 0.500
Tb 0.000 0.500 0.500
Y 0.500 0.500 0.000

DOS(E_F)	8.107	states/eV/cell
DFT total energy	-58.99	eV/cell
magnetic moment	0.002	Bohr magnetons per cell
formation energy	-1289	meV per atom

[4]
ReBr2Cl: optimized geometry, PBE-GGA.

Unit cell a=3.859 b=3.859 c=9.021 alpha=82.51 beta=82.51 gamma=45.46
Atoms (fractional coordinates):
Re 0.248 0.248 0.252
Br 0.984 0.984 0.089
Br 0.749 0.749 0.758
Cl 0.519 0.519 0.402

DOS(E_F)	1.063	states/eV/cell
DFT total energy	-16.58	eV/cell
magnetic moment	0.000	Bohr magnetons per cell
formation energy (no corrections)	0.264	eV/atom
excess energy over the best structure of this formula in the dataset	328.2	meV per atom

[5]
Tl3In8Pb3: optimized geometry, PBE-GGA.

Unit cell a=5.328 b=9.327 c=9.327 alpha=82.37 beta=72.06 gamma=72.06
Atoms (fractional coordinates):
In 0.858 0.756 0.513
In 0.660 0.084 0.616
In 0.858 0.513 0.756
In 0.340 0.916 0.384
In 0.142 0.487 0.244
In 0.340 0.384 0.916
In 0.142 0.244 0.487
In 0.660 0.616 0.084
Pb 0.000 0.161 0.839
Pb 0.500 0.000 0.000
Pb 0.000 0.839 0.161
Tl 0.790 0.225 0.225
Tl 0.500 0.500 0.500
Tl 0.210 0.775 0.775

DOS(E_F)	6.979	states/eV/cell
DFT total energy	-39.41	eV/cell
magnetic moment	0.000	Bohr magnetons per cell
excess energy over the best structure of this formula in the dataset	5.4	meV per atom
formation energy	51	meV per atom

[6]
LaY2Cl: optimized geometry, PBE-GGA.

Unit cell a=3.534 b=3.534 c=9.604 alpha=90.00 beta=90.00 gamma=90.00
Atoms (fractional coordinates):
Y 0.000 0.000 0.013
Y 0.500 0.500 0.271
Cl 0.000 0.000 0.493
La 0.500 0.500 0.723

DOS(E_F)	4.502	states/eV/cell
DFT total energy	-21.90	eV/cell
magnetic moment	0.001	Bohr magnetons per cell
formation energy (no corrections)	-0.549	eV/atom
excess energy over the best structure of this formula in the dataset	122.0	meV per atom